[1]
HoThCd2: optimized geometry, GGA-PBE.

Lattice parameters (Å, degrees): 3.5163 3.5163 8.6652 90.00 90.00 90.00
Closest atoms and distances in Å follow each position.
Space group P4/mmm (No. 123)
Unique sites:
Ho1 0.0000 0.0000 0.0000 x1  8 Cd 3.21, 4 Ho 3.52
Th1 0.0000 0.0000 0.5000 x1  8 Cd 3.39, 4 Th 3.52
Cd1 0.5000 0.5000 0.2345 x2  4 Ho 3.21, 4 Th 3.39, 4 Cd 3.52

Values from the calculation:
Energy relative to the elements, eV/atom: -0.195
Mass density, g cm⁻³: 9.6

---

[2]
HoThCd: optimized geometry, GGA-PBE.

Lattice parameters (Å, degrees): 3.5737 3.5737 13.6235 90.00 90.00 90.00
Closest atoms and distances in Å follow each position.
Space group I4mm (No. 107)
Unique sites:
Ho1 0.0000 0.0000 0.0000 x2  4 Cd 3.23, 4 Th 3.54, 4 Ho 3.57
Th1 0.0000 0.0000 0.6822 x2  4 Cd 3.43, 4 Ho 3.54, 4 Th 3.57
Cd1 0.0000 0.0000 0.3527 x2  4 Ho 3.23, 4 Th 3.43, 4 Cd 3.57

Values from the calculation:
Energy relative to the elements, eV/atom: -0.123
Mass density, g cm⁻³: 9.7

---

| no. | offset from the most stable computed form (meV per atom) |
| --- | --- |
| 1 | 0.0 |
| 2 | 0.0 |